No. 1
DFT (PBE-GGA) results for Pa2NbBi after structural relaxation.

Calculated formation energy (eV/atom): 0.333

Lattice parameters (Å, degrees): 7.398 7.398 7.398 90.00 90.00 90.00
Fractional positions:
1 Pa 0.250 0.250 0.250
2 Pa 0.250 0.250 0.750
3 Pa 0.250 0.750 0.250
4 Pa 0.250 0.750 0.750
5 Pa 0.750 0.250 0.250
6 Pa 0.750 0.250 0.750
7 Pa 0.750 0.750 0.250
8 Pa 0.750 0.750 0.750
9 Nb 0.000 0.000 0.000
10 Nb 0.000 0.500 0.500
11 Nb 0.500 0.000 0.500
12 Nb 0.500 0.500 0.000
13 Bi 0.000 0.000 0.500
14 Bi 0.000 0.500 0.000
15 Bi 0.500 0.000 0.000
16 Bi 0.500 0.500 0.500

No. 2
DFT (PBE-GGA) results for PaNbBi after structural relaxation.

Calculated formation energy (eV/atom): 0.157

Lattice parameters (Å, degrees): 3.526 3.526 11.817 90.00 90.00 90.00
Fractional positions:
1 Pa 0.000 0.000 0.000
2 Pa 0.500 0.500 0.500
3 Nb 0.000 0.000 0.345
4 Nb 0.500 0.500 0.845
5 Bi 0.000 0.000 0.707
6 Bi 0.500 0.500 0.207